Entry w
A plane-wave DFT calculation with PBE was carried out for a geometry-optimized NdSmY6 structure.

Summary:
Volume (Å³ per cell): 289.5

Cell: 6.094 6.094 8.661 Å, 102.14 102.14 68.53°
Fractional coordinates of all 8 atoms:
Nd  0.000  0.000  0.000
Sm  0.000  0.000  0.500
Y  0.063  0.543  0.699
Y  0.371  0.371  0.072
Y  0.457  0.937  0.301
Y  0.543  0.063  0.699
Y  0.629  0.629  0.928
Y  0.937  0.457  0.301

Entry x
A plane-wave DFT calculation with PBE was carried out for a geometry-optimized NdSmY6 structure.

Summary:
Volume (Å³ per cell): 270.5

Cell: 6.509 6.509 6.509 Å, 96.24 96.24 96.24°
Fractional coordinates of all 8 atoms:
Nd  0.000  0.000  0.000
Sm  0.500  0.500  0.500
Y  0.043  0.749  0.457
Y  0.251  0.543  0.957
Y  0.457  0.043  0.749
Y  0.543  0.957  0.251
Y  0.749  0.457  0.043
Y  0.957  0.251  0.543

Stability ranking, top entry: entry x; the second entry is 21.9 kJ/mol of atoms less favorable.

Entry w
A plane-wave DFT calculation with PBE was carried out for a geometry-optimized Nd2Sm5Y4 structure.

Summary:
Volume (Å³ per cell): 371.2

Cell: 6.715 6.715 9.425 Å, 104.74 104.74 66.45°
Fractional coordinates of all 11 atoms:
Nd  0.145  0.145  0.123
Nd  0.855  0.855  0.877
Sm  0.000  0.000  0.500
Sm  0.215  0.653  0.232
Sm  0.347  0.785  0.768
Sm  0.653  0.215  0.232
Sm  0.785  0.347  0.768
Y  0.308  0.308  0.501
Y  0.332  0.332  0.880
Y  0.668  0.668  0.120
Y  0.692  0.692  0.499

Entry x
A plane-wave DFT calculation with PBE was carried out for a geometry-optimized Nd2Sm5Y4 structure.

Summary:
Volume (Å³ per cell): 384.9

Cell: 12.795 12.795 12.795 Å, 164.05 137.96 45.24°
Fractional coordinates of all 11 atoms:
Nd  0.233  0.233  0.000
Nd  0.767  0.767  0.000
Sm  0.160  0.356  0.803
Sm  0.447  0.644  0.803
Sm  0.500  0.000  0.500
Sm  0.553  0.356  0.197
Sm  0.840  0.644  0.197
Y  0.098  0.098  0.000
Y  0.188  0.500  0.688
Y  0.812  0.500  0.312
Y  0.902  0.902  0.000

Stability ranking, top entry: entry w; the second entry is 7.1 kJ/mol of atoms less favorable.

Entry w
A plane-wave DFT calculation with PBE was carried out for a geometry-optimized Nd3SmY3 structure.

Summary:
Volume (Å³ per cell): 239.3

Cell: 6.640 6.640 6.640 Å, 107.66 107.66 107.66°
Fractional coordinates of all 7 atoms:
Nd  0.187  0.187  0.626
Nd  0.187  0.626  0.187
Nd  0.626  0.187  0.187
Sm  0.151  0.151  0.151
Y  0.043  0.677  0.677
Y  0.677  0.043  0.677
Y  0.677  0.677  0.043

Entry x
A plane-wave DFT calculation with PBE was carried out for a geometry-optimized Nd3SmY3 structure.

Summary:
Volume (Å³ per cell): 494.7

Cell: 8.975 8.975 8.975 Å, 58.58 58.58 58.58°
Fractional coordinates of all 14 atoms:
Nd  0.067  0.218  0.571
Nd  0.218  0.571  0.067
Nd  0.429  0.933  0.782
Nd  0.571  0.067  0.218
Nd  0.782  0.429  0.933
Nd  0.933  0.782  0.429
Sm  0.156  0.156  0.156
Sm  0.844  0.844  0.844
Y  0.213  0.437  0.674
Y  0.326  0.787  0.563
Y  0.437  0.674  0.213
Y  0.563  0.326  0.787
Y  0.674  0.213  0.437
Y  0.787  0.563  0.326

Stability ranking, top entry: entry x; the second entry is 3.8 kJ/mol of atoms less favorable.

Entry w
A plane-wave DFT calculation with PBE was carried out for a geometry-optimized Nd5SmY2 structure.

Summary:
Volume (Å³ per cell): 548.3

Cell: 7.293 14.583 5.155 Å, 90.00 90.00 90.00°
Fractional coordinates of all 16 atoms:
Nd  0.000  0.000  0.000
Nd  0.000  0.250  0.000
Nd  0.000  0.750  0.000
Nd  0.250  0.125  0.500
Nd  0.250  0.625  0.500
Nd  0.500  0.250  0.000
Nd  0.500  0.500  0.000
Nd  0.500  0.750  0.000
Nd  0.750  0.375  0.500
Nd  0.750  0.875  0.500
Sm  0.000  0.500  0.000
Sm  0.500  0.000  0.000
Y  0.249  0.375  0.500
Y  0.251  0.875  0.500
Y  0.749  0.125  0.500
Y  0.751  0.625  0.500

Entry x
A plane-wave DFT calculation with PBE was carried out for a geometry-optimized Nd5SmY2 structure.

Summary:
Volume (Å³ per cell): 577.8

Cell: 7.231 10.143 8.087 Å, 90.00 103.07 90.00°
Fractional coordinates of all 16 atoms:
Nd  0.076  0.250  0.278
Nd  0.087  0.594  0.361
Nd  0.087  0.906  0.361
Nd  0.253  0.530  0.001
Nd  0.253  0.970  0.001
Nd  0.747  0.030  0.999
Nd  0.747  0.470  0.999
Nd  0.913  0.094  0.639
Nd  0.913  0.406  0.639
Nd  0.924  0.750  0.722
Sm  0.433  0.750  0.720
Sm  0.567  0.250  0.280
Y  0.407  0.090  0.636
Y  0.407  0.410  0.636
Y  0.593  0.590  0.364
Y  0.593  0.910  0.364

Stability ranking, top entry: entry w; the second entry is 20.8 kJ/mol of atoms less favorable.

Entry w
A plane-wave DFT calculation with PBE was carried out for a geometry-optimized Nd7SmY12 structure.

Summary:
Volume (Å³ per cell): 692.3

Cell: 8.866 8.866 8.866 Å, 86.04 86.04 86.04°
Fractional coordinates of all 20 atoms:
Nd  0.000  0.000  0.000
Nd  0.103  0.424  0.345
Nd  0.345  0.103  0.424
Nd  0.424  0.345  0.103
Nd  0.576  0.655  0.897
Nd  0.655  0.897  0.576
Nd  0.897  0.576  0.655
Sm  0.500  0.500  0.500
Y  0.003  0.883  0.364
Y  0.117  0.636  0.997
Y  0.227  0.356  0.755
Y  0.245  0.773  0.644
Y  0.356  0.755  0.227
Y  0.364  0.003  0.883
Y  0.636  0.997  0.117
Y  0.644  0.245  0.773
Y  0.755  0.227  0.356
Y  0.773  0.644  0.245
Y  0.883  0.364  0.003
Y  0.997  0.117  0.636

Entry x
A plane-wave DFT calculation with PBE was carried out for a geometry-optimized Nd7SmY12 structure.

Summary:
Volume (Å³ per cell): 734.1

Cell: 9.843 9.843 9.843 Å, 109.47 109.47 109.47°
Fractional coordinates of all 20 atoms:
Nd  0.000  0.000  0.500
Nd  0.000  0.500  0.000
Nd  0.000  0.500  0.500
Nd  0.500  0.000  0.000
Nd  0.500  0.000  0.500
Nd  0.500  0.500  0.000
Nd  0.500  0.500  0.500
Sm  0.000  0.000  0.000
Y  0.000  0.249  0.751
Y  0.000  0.751  0.249
Y  0.249  0.000  0.751
Y  0.249  0.249  0.498
Y  0.249  0.498  0.249
Y  0.249  0.751  0.000
Y  0.498  0.249  0.249
Y  0.502  0.751  0.751
Y  0.751  0.000  0.249
Y  0.751  0.249  0.000
Y  0.751  0.502  0.751
Y  0.751  0.751  0.502

Stability ranking, top entry: entry w; the second entry is 37.6 kJ/mol of atoms less favorable.

Entry w
A plane-wave DFT calculation with PBE was carried out for a geometry-optimized NdSm4Y6 structure.

Summary:
Volume (Å³ per cell): 732.9

Cell: 5.659 5.659 26.018 Å, 90.00 90.00 118.40°
Fractional coordinates of all 22 atoms:
Nd  0.183  0.817  0.750
Nd  0.817  0.183  0.250
Sm  0.157  0.843  0.043
Sm  0.157  0.843  0.457
Sm  0.471  0.529  0.122
Sm  0.471  0.529  0.378
Sm  0.529  0.471  0.622
Sm  0.529  0.471  0.878
Sm  0.843  0.157  0.543
Sm  0.843  0.157  0.957
Y  0.144  0.856  0.181
Y  0.144  0.856  0.319
Y  0.189  0.811  0.603
Y  0.189  0.811  0.897
Y  0.482  0.518  0.250
Y  0.500  0.500  0.000
Y  0.500  0.500  0.500
Y  0.518  0.482  0.750
Y  0.811  0.189  0.103
Y  0.811  0.189  0.397
Y  0.856  0.144  0.681
Y  0.856  0.144  0.819

Entry x
A plane-wave DFT calculation with PBE was carried out for a geometry-optimized NdSm4Y6 structure.

Summary:
Volume (Å³ per cell): 378.7

Cell: 11.026 11.026 3.597 Å, 90.00 90.00 120.00°
Fractional coordinates of all 11 atoms:
Nd  0.000  0.000  0.000
Sm  0.327  0.163  0.500
Sm  0.333  0.667  0.000
Sm  0.837  0.163  0.500
Sm  0.837  0.673  0.500
Y  0.183  0.366  0.500
Y  0.183  0.817  0.500
Y  0.517  0.033  0.000
Y  0.517  0.483  0.000
Y  0.634  0.817  0.500
Y  0.967  0.483  0.000

Stability ranking, top entry: entry w; the second entry is 5.4 kJ/mol of atoms less favorable.

Entry w
A plane-wave DFT calculation with PBE was carried out for a geometry-optimized Nd5Sm3Y2 structure.

Summary:
Volume (Å³ per cell): 698.7

Cell: 11.126 11.126 11.126 Å, 112.88 77.54 145.77°
Fractional coordinates of all 20 atoms:
Nd  0.170  0.742  0.912
Nd  0.250  0.250  0.000
Nd  0.250  0.501  0.251
Nd  0.250  0.999  0.749
Nd  0.330  0.242  0.571
Nd  0.670  0.758  0.429
Nd  0.750  0.001  0.251
Nd  0.750  0.499  0.749
Nd  0.750  0.750  0.000
Nd  0.830  0.258  0.088
Sm  0.168  0.085  0.253
Sm  0.250  0.750  0.500
Sm  0.332  0.585  0.917
Sm  0.668  0.415  0.083
Sm  0.750  0.250  0.500
Sm  0.832  0.915  0.747
Y  0.168  0.410  0.579
Y  0.332  0.910  0.242
Y  0.668  0.090  0.758
Y  0.832  0.590  0.421

Entry x
A plane-wave DFT calculation with PBE was carried out for a geometry-optimized Nd5Sm3Y2 structure.

Summary:
Volume (Å³ per cell): 695.8

Cell: 9.181 9.181 10.216 Å, 108.19 108.19 107.74°
Fractional coordinates of all 20 atoms:
Nd  0.020  0.980  0.750
Nd  0.122  0.373  0.748
Nd  0.230  0.770  0.750
Nd  0.373  0.122  0.248
Nd  0.480  0.520  0.250
Nd  0.520  0.480  0.750
Nd  0.627  0.878  0.752
Nd  0.770  0.230  0.250
Nd  0.878  0.627  0.252
Nd  0.980  0.020  0.250
Sm  0.222  0.472  0.442
Sm  0.270  0.730  0.250
Sm  0.472  0.222  0.942
Sm  0.528  0.778  0.058
Sm  0.730  0.270  0.750
Sm  0.778  0.528  0.558
Y  0.029  0.281  0.058
Y  0.281  0.029  0.558
Y  0.719  0.971  0.442
Y  0.971  0.719  0.942

Stability ranking, top entry: entry x; the second entry is 9.4 kJ/mol of atoms less favorable.

Entry w
A plane-wave DFT calculation with PBE was carried out for a geometry-optimized Nd4SmY structure.

Summary:
Volume (Å³ per cell): 214.4

Cell: 6.718 6.718 6.718 Å, 60.00 60.00 60.00°
Fractional coordinates of all 6 atoms:
Nd  0.125  0.125  0.125
Nd  0.125  0.125  0.624
Nd  0.125  0.624  0.125
Nd  0.624  0.125  0.125
Sm  0.750  0.750  0.750
Y  0.500  0.500  0.500

Entry x
A plane-wave DFT calculation with PBE was carried out for a geometry-optimized Nd4SmY structure.

Summary:
Volume (Å³ per cell): 243.9

Cell: 8.338 8.338 3.509 Å, 90.00 90.00 90.29°
Fractional coordinates of all 6 atoms:
Nd  0.238  0.762  0.000
Nd  0.261  0.261  0.500
Nd  0.739  0.739  0.500
Nd  0.762  0.238  0.000
Sm  0.500  0.500  0.000
Y  0.000  0.000  0.500

Entry y
A plane-wave DFT calculation with PBE was carried out for a geometry-optimized Nd4SmY structure.

Summary:
Volume (Å³ per cell): 207.3

Cell: 6.333 6.333 7.324 Å, 106.92 106.92 48.12°
Fractional coordinates of all 6 atoms:
Nd  0.166  0.166  0.333
Nd  0.167  0.167  0.834
Nd  0.833  0.833  0.166
Nd  0.834  0.834  0.667
Sm  0.500  0.500  0.500
Y  0.500  0.500  0.000

Stability ranking, top entry: entry y; the second entry is 22.5 kJ/mol of atoms less favorable.

Entry w
A plane-wave DFT calculation with PBE was carried out for a geometry-optimized Nd7Sm2Y3 structure.

Summary:
Volume (Å³ per cell): 415.2

Cell: 5.942 3.656 19.151 Å, 90.00 93.60 90.00°
Fractional coordinates of all 12 atoms:
Nd  0.000  0.000  0.000
Nd  0.179  0.500  0.181
Nd  0.258  0.500  0.536
Nd  0.322  0.000  0.855
Nd  0.678  0.000  0.145
Nd  0.742  0.500  0.464
Nd  0.821  0.500  0.819
Sm  0.294  0.500  0.703
Sm  0.706  0.500  0.297
Y  0.217  0.000  0.368
Y  0.500  0.500  0.000
Y  0.783  0.000  0.632

Entry x
A plane-wave DFT calculation with PBE was carried out for a geometry-optimized Nd7Sm2Y3 structure.

Summary:
Volume (Å³ per cell): 417.3

Cell: 3.658 5.806 19.776 Å, 86.10 84.75 90.00°
Fractional coordinates of all 12 atoms:
Nd  0.000  0.000  0.000
Nd  0.069  0.667  0.859
Nd  0.272  0.260  0.457
Nd  0.412  0.827  0.180
Nd  0.588  0.173  0.820
Nd  0.728  0.740  0.543
Nd  0.931  0.333  0.141
Sm  0.357  0.292  0.290
Sm  0.643  0.708  0.710
Y  0.177  0.220  0.641
Y  0.500  0.500  0.000
Y  0.823  0.780  0.359

Stability ranking, top entry: entry w; the second entry is 1.3 kJ/mol of atoms less favorable.